Run A
First-principles (PBE) data for La2Tb3Pm after structural relaxation, as listed in Alexandria via LeMat-Bulk.

Structure (POSCAR):
```
La2Tb3Pm
1.0
8.561 -2.831 0.000
8.561 2.831 0.000
-5.832 0.000 8.534
La Tb Pm
4 6 2
direct
0.015 0.015 0.369 La
0.277 0.277 0.634 La
0.723 0.723 0.366 La
0.985 0.985 0.631 La
0.110 0.110 0.153 Tb
0.202 0.202 0.920 Tb
0.447 0.447 0.098 Tb
0.553 0.553 0.902 Tb
0.798 0.798 0.080 Tb
0.890 0.890 0.847 Tb
0.364 0.364 0.351 Pm
0.636 0.636 0.649 Pm
```

## Properties
M_tot = 0.0 μB per formula unit

Run B
First-principles (PBE) data for La2Tb3Pm after structural relaxation, as listed in Alexandria via LeMat-Bulk.

Structure (POSCAR):
```
La2Tb3Pm
1.0
8.640 -3.484 0.000
8.640 3.484 0.000
-1.440 0.000 6.903
La Tb Pm
4 6 2
direct
0.170 0.182 0.088 La
0.182 0.170 0.588 La
0.818 0.830 0.412 La
0.830 0.818 0.912 La
0.237 0.763 0.750 Tb
0.358 0.366 0.431 Tb
0.366 0.358 0.931 Tb
0.634 0.642 0.069 Tb
0.642 0.634 0.569 Tb
0.763 0.237 0.250 Tb
0.236 0.764 0.250 Pm
0.764 0.236 0.750 Pm
```

## Properties
M_tot = 0.0 μB per formula unit

Structures ranked by computed energy, the most stable listed first: run A, run B.

Run A
First-principles (PBE) data for La4TbPm3 after structural relaxation, as listed in Alexandria via LeMat-Bulk.

Structure (POSCAR):
```
La4TbPm3
1.0
25.638 0.000 0.000
0.000 3.525 0.000
-0.395 0.000 6.303
La Tb Pm
8 2 6
direct
0.105 0.000 0.235 La
0.220 0.500 0.244 La
0.280 0.000 0.756 La
0.395 0.500 0.765 La
0.605 0.500 0.235 La
0.720 0.000 0.244 La
0.780 0.500 0.756 La
0.895 0.000 0.765 La
0.000 0.500 0.000 Tb
0.500 0.000 0.000 Tb
0.000 0.000 0.500 Pm
0.143 0.000 0.744 Pm
0.357 0.500 0.256 Pm
0.500 0.500 0.500 Pm
0.643 0.500 0.744 Pm
0.857 0.000 0.256 Pm
```

## Properties
M_tot = 0.0 μB per formula unit

Run B
First-principles (PBE) data for La4TbPm3 after structural relaxation, as listed in Alexandria via LeMat-Bulk.

Structure (POSCAR):
```
La4TbPm3
1.0
11.982 0.000 0.000
0.000 13.702 0.000
0.000 0.000 3.474
La Tb Pm
8 2 6
direct
0.000 0.247 0.000 La
0.000 0.753 0.000 La
0.249 0.000 0.500 La
0.251 0.500 0.500 La
0.500 0.253 0.000 La
0.500 0.747 0.000 La
0.749 0.500 0.500 La
0.751 0.000 0.500 La
0.000 0.000 0.000 Tb
0.500 0.500 0.000 Tb
0.000 0.500 0.000 Pm
0.250 0.250 0.500 Pm
0.250 0.750 0.500 Pm
0.500 0.000 0.000 Pm
0.750 0.250 0.500 Pm
0.750 0.750 0.500 Pm
```

## Properties
M_tot = 0.0 μB per formula unit

Structures ranked by computed energy, the most stable listed first: run A, run B.

Run A
First-principles (PBE) data for La2Tb2Pm after structural relaxation, as listed in Alexandria via LeMat-Bulk.

Structure (POSCAR):
```
La2Tb2Pm
1.0
5.504 0.000 0.000
0.000 3.571 0.000
-2.739 0.000 8.764
La Tb Pm
2 2 1
direct
0.198 0.000 0.396 La
0.802 0.000 0.604 La
0.399 0.500 0.798 Tb
0.601 0.500 0.202 Tb
0.000 0.000 0.000 Pm
```

## Properties
M_tot = 0.0 μB per formula unit

Run B
First-principles (PBE) data for La2Tb2Pm after structural relaxation, as listed in Alexandria via LeMat-Bulk.

Structure (POSCAR):
```
La2Tb2Pm
1.0
3.649 0.000 0.000
-1.824 3.160 0.000
0.000 0.000 44.715
La Tb Pm
6 6 3
direct
0.000 0.000 0.201 La
0.000 0.000 0.799 La
0.333 0.667 0.465 La
0.333 0.667 0.868 La
0.667 0.333 0.132 La
0.667 0.333 0.535 La
0.000 0.000 0.398 Tb
0.000 0.000 0.602 Tb
0.333 0.667 0.065 Tb
0.333 0.667 0.268 Tb
0.667 0.333 0.732 Tb
0.667 0.333 0.935 Tb
0.000 0.000 0.000 Pm
0.333 0.667 0.667 Pm
0.667 0.333 0.333 Pm
```

## Properties
M_tot = 0.0 μB per formula unit

Structures ranked by computed energy, the most stable listed first: run B, run A.

Run A
First-principles (PBE) data for La6TbPm3 after structural relaxation, as listed in Alexandria via LeMat-Bulk.

Structure (POSCAR):
```
La6TbPm3
1.0
5.067 2.925 4.086
-5.067 2.925 4.086
0.000 -5.850 4.086
La Tb Pm
6 1 3
direct
0.074 0.748 0.426 La
0.252 0.574 0.926 La
0.426 0.074 0.748 La
0.574 0.926 0.252 La
0.748 0.426 0.074 La
0.926 0.252 0.574 La
0.500 0.500 0.500 Tb
0.000 0.000 0.000 Pm
0.251 0.251 0.251 Pm
0.749 0.749 0.749 Pm
```

## Properties
M_tot = 0.0 μB per formula unit

Run B
First-principles (PBE) data for La6TbPm3 after structural relaxation, as listed in Alexandria via LeMat-Bulk.

Structure (POSCAR):
```
La6TbPm3
1.0
5.481 -9.808 0.000
5.481 9.808 0.000
0.000 0.000 6.631
La Tb Pm
12 2 6
direct
0.031 0.969 0.500 La
0.070 0.485 0.984 La
0.282 0.718 0.694 La
0.287 0.366 0.798 La
0.366 0.287 0.298 La
0.485 0.070 0.484 La
0.515 0.930 0.984 La
0.634 0.713 0.798 La
0.713 0.634 0.298 La
0.718 0.282 0.194 La
0.930 0.515 0.484 La
0.969 0.031 0.000 La
0.187 0.813 0.249 Tb
0.813 0.187 0.749 Tb
0.057 0.295 0.391 Pm
0.295 0.057 0.891 Pm
0.384 0.616 0.271 Pm
0.616 0.384 0.771 Pm
0.705 0.943 0.391 Pm
0.943 0.705 0.891 Pm
```

## Properties
M_tot = 0.0 μB per formula unit

Structures ranked by computed energy, the most stable listed first: run B, run A.

Run A
First-principles (PBE) data for La2TbPm6 after structural relaxation, as listed in Alexandria via LeMat-Bulk.

Structure (POSCAR):
```
La2TbPm6
1.0
6.394 -7.488 0.000
6.394 7.488 0.000
-1.808 0.000 6.536
La Tb Pm
4 2 12
direct
0.119 0.166 0.368 La
0.166 0.119 0.868 La
0.834 0.881 0.132 La
0.881 0.834 0.632 La
0.391 0.609 0.750 Tb
0.609 0.391 0.250 Tb
0.041 0.426 0.704 Pm
0.142 0.763 0.981 Pm
0.237 0.858 0.519 Pm
0.264 0.463 0.182 Pm
0.426 0.041 0.204 Pm
0.463 0.264 0.682 Pm
0.537 0.736 0.318 Pm
0.574 0.959 0.796 Pm
0.736 0.537 0.818 Pm
0.763 0.142 0.481 Pm
0.858 0.237 0.019 Pm
0.959 0.574 0.296 Pm
```

## Properties
M_tot = 0.0 μB per formula unit

Run B
First-principles (PBE) data for La2TbPm6 after structural relaxation, as listed in Alexandria via LeMat-Bulk.

Structure (POSCAR):
```
La2TbPm6
1.0
3.660 0.000 0.000
-1.830 3.170 0.000
0.000 0.000 27.255
La Tb Pm
2 1 6
direct
0.000 0.000 0.171 La
0.000 0.000 0.829 La
0.667 0.333 0.500 Tb
0.000 0.000 0.393 Pm
0.000 0.000 0.607 Pm
0.667 0.333 0.062 Pm
0.667 0.333 0.286 Pm
0.667 0.333 0.714 Pm
0.667 0.333 0.938 Pm
```

## Properties
M_tot = 0.0 μB per formula unit

Structures ranked by computed energy, the most stable listed first: run B, run A.

Run A
First-principles (PBE) data for La4TbPm5 after structural relaxation, as listed in Alexandria via LeMat-Bulk.

Structure (POSCAR):
```
La4TbPm5
1.0
8.788 -1.810 0.000
8.788 1.810 0.000
-0.073 0.000 11.456
La Tb Pm
4 1 5
direct
0.030 0.030 0.249 La
0.343 0.343 0.251 La
0.657 0.657 0.749 La
0.970 0.970 0.751 La
0.500 0.500 0.000 Tb
0.172 0.172 0.052 Pm
0.173 0.173 0.444 Pm
0.500 0.500 0.500 Pm
0.827 0.827 0.556 Pm
0.828 0.828 0.948 Pm
```

## Properties
M_tot = 0.0 μB per formula unit

Run B
First-principles (PBE) data for La4TbPm5 after structural relaxation, as listed in Alexandria via LeMat-Bulk.

Structure (POSCAR):
```
La4TbPm5
1.0
10.765 0.000 0.000
0.000 10.765 0.000
0.000 0.000 6.013
La Tb Pm
8 2 10
direct
0.048 0.750 0.130 La
0.250 0.548 0.870 La
0.250 0.952 0.870 La
0.452 0.750 0.130 La
0.548 0.250 0.870 La
0.750 0.048 0.130 La
0.750 0.452 0.130 La
0.952 0.250 0.870 La
0.250 0.250 0.845 Tb
0.750 0.750 0.155 Tb
0.090 0.090 0.345 Pm
0.090 0.410 0.345 Pm
0.250 0.750 0.500 Pm
0.410 0.090 0.345 Pm
0.410 0.410 0.345 Pm
0.590 0.590 0.655 Pm
0.590 0.910 0.655 Pm
0.750 0.250 0.500 Pm
0.910 0.590 0.655 Pm
0.910 0.910 0.655 Pm
```

## Properties
M_tot = 0.0 μB per formula unit

Structures ranked by computed energy, the most stable listed first: run B, run A.